VASP calculation (PBEsol) on a geometry-optimized CoSbS structure.

```
CoSbS
1.0
5.781 0.000 0.000
0.000 5.846 0.000
0.000 0.000 11.515
Co Sb S
8 8 8
Cartesian
0.112 1.043 1.639
0.112 1.880 7.396
2.778 3.966 1.639
2.778 4.802 7.396
3.003 1.043 4.119
3.003 1.880 9.877
5.668 3.966 4.119
5.668 4.802 9.877
0.769 1.128 10.719
0.769 1.795 4.962
2.121 4.051 10.719
2.121 4.718 4.962
3.660 1.128 6.554
3.660 1.795 0.796
5.012 4.051 6.554
5.012 4.718 0.796
0.732 3.210 2.154
0.732 5.559 7.912
2.158 0.287 2.154
2.158 2.636 7.912
3.623 3.210 3.604
3.623 5.559 9.361
5.049 0.287 3.604
5.049 2.636 9.361
```

Results
Total energy in eV per atom: -5.98
E_form (uncorrected) in meV/atom: -423
Magnetic moment in μB/cell: 0.00